# 1
{
  "formula": "NaTh2Tl3Te6",
  "functional": "PBE",
  "state": "relaxed",
  "crystal_system": "monoclinic",
  "final_energy_ev_per_cell": -52.41,
  "e_form_raw_ev_per_atom": -0.8581,
  "m_tot_mub_per_cell": 0.00,
  "volume_a3_per_atom": 37.3,
  "spacegroup": "C2/m",
  "cell": [[-3.875, -2.235, -1.018], [-0.481, -3.324, 9.125], [-3.246, 10.299, 0.086]],
  "species": ["Te", "Te", "Te", "Na", "Tl", "Tl", "Tl", "Te", "Te", "Th", "Te", "Th"],
  "frac_coords": [[0.675, 0.558, 0.351], [0.325, 0.442, 0.649], [0.987, 0.755, 0.973], [0.500, 0.000, 0.000], [0.156, 0.828, 0.313], [0.844, 0.172, 0.687], [0.500, 0.500, 0.000], [0.013, 0.245, 0.027], [0.330, 0.893, 0.659], [0.162, 0.321, 0.323], [0.670, 0.107, 0.341], [0.838, 0.679, 0.677]]
}

***

# 2
{
  "formula": "YTlBi2O4",
  "functional": "PBE",
  "state": "relaxed",
  "crystal_system": "tetragonal",
  "final_energy_ev_per_cell": -49.45,
  "e_form_raw_ev_per_atom": -1.6276,
  "m_tot_mub_per_cell": 0.00,
  "volume_a3_per_atom": 20.2,
  "spacegroup": "P4/mmm",
  "cell": [[3.916, 0.000, 0.000], [0.000, 3.916, 0.000], [0.000, 0.000, 10.524]],
  "species": ["O", "O", "Y", "O", "O", "Bi", "Bi", "Tl"],
  "frac_coords": [[0.000, 0.500, 0.868], [0.500, 0.000, 0.868], [0.000, 0.000, 0.000], [0.000, 0.500, 0.132], [0.500, 0.000, 0.132], [0.500, 0.500, 0.239], [0.500, 0.500, 0.761], [0.000, 0.000, 0.500]]
}

***

# 3
{
  "formula": "Np4U3PaP8",
  "functional": "PBE",
  "state": "relaxed",
  "crystal_system": "monoclinic",
  "final_energy_ev_per_cell": -153.62,
  "m_tot_mub_per_cell": 4.80,
  "volume_a3_per_atom": 21.7,
  "ef_mev_per_atom": -951,
  "spacegroup": "C2/m",
  "cell": [[7.865, 0.000, 0.000], [0.000, 7.899, -0.064], [-3.932, -3.988, 5.611]],
  "species": ["Np", "P", "Np", "U", "U", "P", "P", "P", "Np", "P", "P", "Pa", "U", "P", "P", "Np"],
  "frac_coords": [[0.000, 0.000, 0.000], [0.750, 0.251, 0.002], [0.500, 0.000, 0.500], [0.500, 0.500, 0.500], [0.000, 0.500, 0.500], [0.747, 0.749, 0.998], [0.250, 0.748, 0.500], [0.749, 0.747, 0.498], [0.000, 0.000, 0.500], [0.250, 0.749, 0.998], [0.253, 0.251, 0.002], [0.000, 0.500, 0.000], [0.500, 0.500, 0.000], [0.251, 0.253, 0.502], [0.750, 0.252, 0.500], [0.500, 0.000, 0.000]]
}

***

# 4
{
  "formula": "Cr2MoSe",
  "functional": "PBE",
  "state": "relaxed",
  "crystal_system": "orthorhombic",
  "final_energy_ev_per_cell": -31.74,
  "e_form_raw_ev_per_atom": 0.4565,
  "m_tot_mub_per_cell": 0.00,
  "volume_a3_per_atom": 14.4,
  "spacegroup": "Cmm2",
  "cell": [[-2.654, 0.709, -0.054], [0.890, -0.803, -2.473], [-2.108, -7.758, 1.762]],
  "species": ["Se", "Cr", "Cr", "Mo"],
  "frac_coords": [[0.500, 0.500, 0.768], [0.000, 0.000, 0.020], [0.500, 0.500, 0.233], [0.000, 0.000, 0.479]]
}

***

# 5
{
  "formula": "TbSm4Zn5",
  "functional": "PBE",
  "state": "relaxed",
  "crystal_system": "tetragonal",
  "final_energy_ev_per_cell": -33.08,
  "m_tot_mub_per_cell": 0.00,
  "volume_a3_per_atom": 23.9,
  "ef_mev_per_atom": -321,
  "spacegroup": "P4/mmm",
  "cell": [[-3.612, 0.328, 0.106], [-0.176, -0.789, -3.537], [-1.483, -17.647, 4.011]],
  "species": ["Sm", "Sm", "Zn", "Sm", "Zn", "Tb", "Sm", "Zn", "Zn", "Zn"],
  "frac_coords": [[0.000, 0.000, 0.399], [0.000, 0.000, 0.198], [0.500, 0.500, 0.299], [0.000, 0.000, 0.601], [0.500, 0.500, 0.701], [0.000, 0.000, 0.000], [0.000, 0.000, 0.802], [0.500, 0.500, 0.096], [0.500, 0.500, 0.500], [0.500, 0.500, 0.904]]
}

***

# 6
{
  "formula": "K2PaCuS4",
  "functional": "PBE",
  "state": "relaxed",
  "crystal_system": "tetragonal",
  "final_energy_ev_per_cell": -40.84,
  "e_form_raw_ev_per_atom": -1.0676,
  "m_tot_mub_per_cell": 0.00,
  "volume_a3_per_atom": 28.7,
  "spacegroup": "I-4",
  "cell": [[-0.545, -3.215, 5.910], [6.296, 1.504, -1.912], [-2.557, 6.245, -0.150]],
  "species": ["S", "S", "S", "K", "S", "Cu", "Pa", "K"],
  "frac_coords": [[0.585, 0.363, 0.438], [0.415, 0.854, 0.779], [0.925, 0.562, 0.146], [0.500, 0.750, 0.250], [0.075, 0.221, 0.637], [0.000, 0.500, 0.500], [0.500, 0.250, 0.750], [0.000, 0.000, 0.000]]
}

***

# 7
{
  "formula": "TcMoAu3",
  "functional": "PBE",
  "state": "relaxed",
  "crystal_system": "cubic",
  "final_energy_ev_per_cell": -22.72,
  "m_tot_mub_per_cell": 6.05,
  "volume_a3_per_atom": 24.9,
  "ef_mev_per_atom": 1663,
  "spacegroup": "Pm-3m",
  "de_polymorph_kj_per_mol_fu": 0,
  "cell": [[-4.822, 1.149, 0.575], [0.418, -0.710, 4.922], [1.215, 4.804, 0.589]],
  "species": ["Au", "Au", "Mo", "Tc", "Au"],
  "frac_coords": [[0.000, 0.000, 0.500], [0.000, 0.500, 0.000], [0.500, 0.500, 0.500], [0.000, 0.000, 0.000], [0.500, 0.000, 0.000]]
}

***

# 8
{
  "formula": "BaLi2Mg2",
  "functional": "PBE",
  "state": "relaxed",
  "crystal_system": "monoclinic",
  "final_energy_ev_per_cell": -17.53,
  "m_tot_mub_per_cell": 0.00,
  "volume_a3_per_atom": 31.0,
  "ef_mev_per_atom": 35,
  "spacegroup": "C2/c",
  "de_polymorph_kj_per_mol_fu": 8,
  "cell": [[6.665, -0.916, 0.001], [-3.123, 5.959, 0.001], [-1.744, -2.483, 8.404]],
  "species": ["Mg", "Ba", "Mg", "Li", "Ba", "Mg", "Li", "Li", "Li", "Mg"],
  "frac_coords": [[0.433, 0.067, 0.250], [0.126, 0.374, 0.250], [0.819, 0.681, 0.250], [0.266, 0.018, 0.532], [0.874, 0.626, 0.750], [0.181, 0.319, 0.750], [0.482, 0.234, 0.968], [0.518, 0.766, 0.032], [0.734, 0.982, 0.468], [0.567, 0.933, 0.750]]
}